(1)
Material: PaBi2Sb
Method: DFT, PBE
State: optimized geometry

abc: 3.359 3.359 12.447
angles: 82.25 82.25 60.00
Sites, in units of the cell vectors:
Bi 0.909 0.909 0.272
Sb 0.000 0.000 0.000
Pa 0.500 0.500 0.500
Bi 0.091 0.091 0.728

Properties
Relative energy among the computed polymorphs (meV/atom): 303
Crystal system: trigonal
E_form (uncorrected) (eV per formula unit): 0.33
Symmetry: R-3m, No. 166



(2)
Material: Pa2BiSb2
Method: DFT, PBE
State: optimized geometry

abc: 4.384 6.080 7.605
angles: 113.56 106.75 90.00
Last column: magnetic moment on the atom in μB.
Sites, in units of the cell vectors:
Bi 0.000 0.000 0.000  -0.02
Pa 0.331 0.831 0.661  0.27
Sb 0.666 0.666 0.332  -0.01
Pa 0.669 0.169 0.339  0.27
Sb 0.334 0.334 0.668  -0.01

Properties
Crystal system: orthorhombic
E_form (uncorrected) (eV per formula unit): -0.53
Symmetry: Immm, No. 71



(3)
Material: PaBi2Sb
Method: DFT, PBE
State: optimized geometry

abc: 5.295 4.624 4.624
angles: 90.00 90.00 90.00
Last column: magnetic moment on the atom in μB.
Sites, in units of the cell vectors:
Pa 0.500 0.500 0.500  0.18
Bi 0.000 0.000 0.500  -0.01
Bi 0.000 0.500 0.000  -0.01
Sb 0.500 0.000 0.000  -0.01

Properties
Relative energy among the computed polymorphs (meV/atom): 74
Crystal system: tetragonal
E_form (uncorrected) (eV per formula unit): -0.59
Symmetry: P4/mmm, No. 123



Among the records above, which one has the lowest E_form (uncorrected)?
number 3